Entry 1:
Here is a geometry-optimized Ta2NbRh9 structure from Alexandria via LeMat-Bulk. Energies are from GGA-PBE.

CIF file:
```
data_Ta2NbRh9
_cell_length_a 3.901
_cell_length_b 3.901
_cell_length_c 11.702
_cell_angle_alpha 90.00
_cell_angle_beta 90.00
_cell_angle_gamma 90.00
_symmetry_space_group_name_H-M 'P 4/m m m'
_symmetry_Int_Tables_number 123
_symmetry_space_group_name_Hall '-P 4 2'
loop_
_atom_site_label
_atom_site_fract_x
_atom_site_fract_y
_atom_site_fract_z
_atom_site_occupancy
Ta1 0.000 0.000 0.167 1
Nb1 0.000 0.000 0.500 1
Rh1 0.000 0.500 0.000 1
Rh2 0.000 0.500 0.333 1
Rh3 0.500 0.500 0.166 1
Rh4 0.500 0.500 0.500 1
```

---

Entry 2:
# Ca3AsOs, relaxed, DFT GGA-PBE
data_Ca3AsOs
_cell_length_a 5.341
_cell_length_b 5.341
_cell_length_c 5.341
_cell_angle_alpha 90.00
_cell_angle_beta 90.00
_cell_angle_gamma 90.00
_symmetry_space_group_name_H-M 'P m -3 m'
_symmetry_Int_Tables_number 221
_symmetry_space_group_name_Hall '-P 4 2 3'
loop_
_atom_site_label
_atom_site_fract_x
_atom_site_fract_y
_atom_site_fract_z
_atom_site_occupancy
Ca1 0.000 0.000 0.500 1
As1 0.500 0.500 0.500 1
Os1 0.000 0.000 0.000 1
# **Distance to the lowest polymorph of the same formula**: 0.0 meV per atom

---

no.,formation enthalpy at 0 K (eV per atom),M_tot (μB per formula unit),electronic total energy (Ry per atom)
1,-0.58,0.000,-0.654
2,0.25,1.000,-0.304